Below is crystalline Li2Fe2Si2O7 at its relaxed geometry, with properties calculated at the PBE+U level.

Values from the calculation:
magnetic moment = 32.00 μB/cell
E = -6.868 eV per atom
N(E_F) = 0.000 states/eV per atom

a = 13.392 Å, b = 10.051 Å, c = 4.928 Å
α = 90.00°, β = 90.00°, γ = 90.00°
Space group Ama2 (No. 40)
Symmetry-distinct sites (fractional):
Li1 0.000 0.000 0.000 x4
Li2 0.250 0.021 0.019 x4
Fe1 0.087 0.279 0.091 x8
Si1 0.136 0.099 0.572 x8
O1 0.062 0.211 0.707 x8
O2 0.122 0.456 0.224 x8
O3 0.125 0.093 0.242 x8
O4 0.250 0.151 0.666 x4